Record 1
Here is a PBEsol-optimized structure of CrCuCl from the Alexandria database. Energies are from SCAN.

a b c (Å): 4.1219 4.1219 3.0961
angles (deg): 90.00 90.00 120.00
Last column: nearest neighbours and their distance in Å.
Element x y z (fractional)
Cr: 0.0000 0.0000 0.0000  3 Cl 2.38
Cu: 0.3333 0.6667 0.5002  6 Cl 2.83-2.84, 6 Cr 2.84, 2 Cu 3.10
Cl: 0.6667 0.3333 0.9969  3 Cr 2.38

Results
- Energy relative to the elements, uncorrected: 0.316 eV per atom
- Space group: P3m1



Record 2
Here is a PBEsol-optimized structure of Li3NiPCO7 from the Alexandria database. Energies are from SCAN.

a b c (Å): 4.8779 6.2904 8.3033
angles (deg): 90.00 95.52 90.00
Last column: nearest neighbours and their distance in Å.
Element x y z (fractional)
Li: 0.2099 0.2500 0.1047  4 O 1.90-2.07
Li: 0.2617 0.5119 0.7243  5 O 2.07-2.18
Li: 0.2617 0.9881 0.7243  5 O 2.07-2.18
Li: 0.7383 0.0119 0.2757  5 O 2.07-2.18
Li: 0.7383 0.4881 0.2757  5 O 2.07-2.18
Li: 0.7901 0.7500 0.8953  4 O 1.90-2.07
Ni: 0.2088 0.7500 0.3307  6 O 1.97-2.18
Ni: 0.7912 0.2500 0.6693  6 O 1.97-2.18
P: 0.2730 0.2500 0.4131  4 O 1.53-1.56
P: 0.7270 0.7500 0.5869  4 O 1.53-1.56
C: 0.3162 0.7500 0.0417  3 O 1.29-1.30
C: 0.6838 0.2500 0.9583  3 O 1.29-1.30
O: 0.0628 0.7500 0.0740  1 C 1.29
O: 0.1625 0.2500 0.5796  1 P 1.53
O: 0.1671 0.0606 0.3041  1 P 1.55
O: 0.1671 0.4394 0.3041  1 P 1.55
O: 0.3848 0.7500 0.8958  1 C 1.29
O: 0.4063 0.7500 0.5622  1 P 1.56
O: 0.4973 0.2500 0.8351  1 C 1.30
O: 0.5027 0.7500 0.1649  1 C 1.30
O: 0.5937 0.2500 0.4378  1 P 1.56
O: 0.6152 0.2500 0.1042  1 C 1.29
O: 0.8329 0.5606 0.6959  1 P 1.55
O: 0.8329 0.9394 0.6959  1 P 1.55
O: 0.8375 0.7500 0.4204  1 P 1.53
O: 0.9372 0.2500 0.9260  1 C 1.29

Results
- Energy relative to the elements, uncorrected: -2.145 eV per atom
- Space group: P2_1/m



Record 3
Here is a PBEsol-optimized structure of TaIn2Au from the Alexandria database. Energies are from SCAN.

a b c (Å): 3.0278 3.9287 6.4148
angles (deg): 90.00 90.00 90.00
Last column: nearest neighbours and their distance in Å.
Element x y z (fractional)
Ta: 0.0000 0.0000 0.0000  8 In 2.95, 2 Ta 3.03, 2 Au 3.21
In: 0.5000 0.5000 0.2504  4 Au 2.95, 4 Ta 2.95, 4 In 3.03-3.21
In: 0.5000 0.5000 0.7496  4 Au 2.95, 4 Ta 2.95, 4 In 3.03-3.21
Au: 0.0000 0.0000 0.5000  8 In 2.95, 2 Au 3.03, 2 Ta 3.21

Results
- Space group: Pmmm
- Formation energy from the elements: 0.17 eV/atom



Record 4
Here is a PBEsol-optimized structure of PuPaO4 from the Alexandria database. Energies are from SCAN.

a b c (Å): 3.7931 3.7931 5.4046
angles (deg): 90.00 90.00 90.00
Last column: nearest neighbours and their distance in Å.
Element x y z (fractional)
Pu: 0.0000 0.0000 0.0000  8 O 2.36
Pa: 0.5000 0.5000 0.5000  8 O 2.30
O: 0.0000 0.5000 0.2601  2 Pa 2.30, 2 Pu 2.36
O: 0.0000 0.5000 0.7399  2 Pa 2.30, 2 Pu 2.36
O: 0.5000 0.0000 0.2601  2 Pa 2.30, 2 Pu 2.36
O: 0.5000 0.0000 0.7399  2 Pa 2.30, 2 Pu 2.36

Results
- Energy relative to the elements, uncorrected: -3.678 eV per atom
- Space group: P4/mmm



Record 5
Here is a PBEsol-optimized structure of KLi4AlO4 from the Alexandria database. Energies are from SCAN.

a b c (Å): 5.5241 15.3254 10.9882
angles (deg): 90.00 109.56 90.00
Last column: nearest neighbours and their distance in Å.
Element x y z (fractional)
K: 0.0501 0.0720 0.1662  6 O 2.82-3.13, 4 Li 2.97-3.12
K: 0.0501 0.4280 0.6662  6 O 2.82-3.13, 4 Li 2.97-3.12
K: 0.4051 0.7032 0.2714  7 O 2.82-3.05, 2 Li 2.90-3.10
K: 0.4051 0.7968 0.7714  7 O 2.82-3.05, 2 Li 2.90-3.10
K: 0.5949 0.2032 0.2286  7 O 2.82-3.05, 2 Li 2.90-3.10
K: 0.5949 0.2968 0.7286  7 O 2.82-3.05, 2 Li 2.90-3.10
K: 0.9499 0.5720 0.3338  6 O 2.82-3.13, 4 Li 2.97-3.12
K: 0.9499 0.9280 0.8338  6 O 2.82-3.13, 4 Li 2.97-3.12
Li: 0.0605 0.5773 0.0424  3 O 1.83-1.99
Li: 0.0605 0.9227 0.5424  3 O 1.83-1.99
Li: 0.0893 0.6228 0.7707  4 O 1.89-2.00
Li: 0.0893 0.8772 0.2707  4 O 1.89-2.00
Li: 0.1079 0.7385 0.4768  3 O 1.93-2.01
Li: 0.1079 0.7615 0.9768  3 O 1.93-2.01
Li: 0.2149 0.1612 0.6278  3 O 1.84-1.92
Li: 0.2149 0.3388 0.1278  3 O 1.84-1.92
Li: 0.3111 0.5195 0.9233  4 O 1.89-2.06
Li: 0.3111 0.9805 0.4233  4 O 1.89-2.06
Li: 0.3291 0.6196 0.6270  4 O 1.92-2.09
Li: 0.3291 0.8804 0.1270  4 O 1.92-2.09
Li: 0.3589 0.0666 0.9771  3 O 1.87-1.97
Li: 0.3589 0.4334 0.4771  3 O 1.87-1.97
Li: 0.4726 0.1539 0.4934  3 O 1.88-2.01
Li: 0.4726 0.3461 0.9934  3 O 1.88-2.01
Li: 0.5274 0.6539 0.0066  3 O 1.88-2.01
Li: 0.5274 0.8461 0.5066  3 O 1.88-2.01
Li: 0.6411 0.5666 0.5229  3 O 1.87-1.97
Li: 0.6411 0.9334 0.0229  3 O 1.87-1.97
Li: 0.6709 0.1196 0.8730  4 O 1.92-2.09
Li: 0.6709 0.3804 0.3730  4 O 1.92-2.09
Li: 0.6889 0.0195 0.5767  4 O 1.89-2.06
Li: 0.6889 0.4805 0.0767  4 O 1.89-2.06
Li: 0.7851 0.6612 0.8722  3 O 1.84-1.92
Li: 0.7851 0.8388 0.3722  3 O 1.84-1.92
Li: 0.8921 0.2385 0.0232  3 O 1.93-2.01
Li: 0.8921 0.2615 0.5232  3 O 1.93-2.01
Li: 0.9107 0.1228 0.7293  4 O 1.89-2.00
Li: 0.9107 0.3772 0.2293  4 O 1.89-2.00
Li: 0.9395 0.0773 0.4576  3 O 1.83-1.99
Li: 0.9395 0.4227 0.9576  3 O 1.83-1.99
Al: 0.1891 0.2265 0.8807  4 O 1.76-1.79
Al: 0.1891 0.2735 0.3807  4 O 1.76-1.79
Al: 0.3839 0.0160 0.7036  4 O 1.74-1.79
Al: 0.3839 0.4840 0.2036  4 O 1.74-1.79
Al: 0.6161 0.5160 0.7964  4 O 1.74-1.79
Al: 0.6161 0.9840 0.2964  4 O 1.74-1.79
Al: 0.8109 0.7265 0.6193  4 O 1.76-1.79
Al: 0.8109 0.7735 0.1193  4 O 1.76-1.79
O: 0.0364 0.1334 0.9219  1 Al 1.79, 3 Li 1.92-2.00
O: 0.0364 0.3666 0.4219  1 Al 1.79, 3 Li 1.92-2.00
O: 0.0478 0.0363 0.6398  1 Al 1.78, 3 Li 1.89-1.99
O: 0.0478 0.4637 0.1398  1 Al 1.78, 3 Li 1.89-1.99
O: 0.0637 0.2380 0.7095  1 Al 1.78, 2 Li 1.84-1.98
O: 0.0637 0.2620 0.2095  1 Al 1.78, 2 Li 1.84-1.98
O: 0.0982 0.1815 0.4514  1 Al 1.76, 2 Li 1.83-1.85
O: 0.0982 0.3185 0.9514  1 Al 1.76, 2 Li 1.83-1.85
O: 0.4408 0.5647 0.1014  1 Al 1.77, 3 Li 1.88-1.97
O: 0.4408 0.9353 0.6014  1 Al 1.77, 3 Li 1.88-1.97
O: 0.4497 0.6100 0.8248  1 Al 1.79, 2 Li 1.89-1.92
O: 0.4497 0.8900 0.3248  1 Al 1.79, 2 Li 1.89-1.92
O: 0.4709 0.7150 0.5508  1 Al 1.78, 2 Li 1.93-1.97
O: 0.4709 0.7850 0.0508  1 Al 1.78, 2 Li 1.93-1.97
O: 0.4970 0.0034 0.1306  1 Al 1.74, 1 Li 1.87
O: 0.4970 0.4966 0.6306  1 Al 1.74, 1 Li 1.87
O: 0.5030 0.5034 0.3694  1 Al 1.74, 1 Li 1.87
O: 0.5030 0.9966 0.8694  1 Al 1.74, 1 Li 1.87
O: 0.5291 0.2150 0.9492  1 Al 1.78, 2 Li 1.93-1.97
O: 0.5291 0.2850 0.4492  1 Al 1.78, 2 Li 1.93-1.97
O: 0.5503 0.1100 0.6752  1 Al 1.79, 2 Li 1.89-1.92
O: 0.5503 0.3900 0.1752  1 Al 1.79, 2 Li 1.89-1.92
O: 0.5592 0.0647 0.3986  1 Al 1.77, 3 Li 1.88-1.97
O: 0.5592 0.4353 0.8986  1 Al 1.77, 3 Li 1.88-1.97
O: 0.9018 0.6815 0.0486  1 Al 1.76, 2 Li 1.83-1.85
O: 0.9018 0.8185 0.5486  1 Al 1.76, 2 Li 1.83-1.85
O: 0.9363 0.7380 0.7905  1 Al 1.78, 2 Li 1.84-1.98
O: 0.9363 0.7620 0.2905  1 Al 1.78, 2 Li 1.84-1.98
O: 0.9522 0.5363 0.8602  1 Al 1.78, 3 Li 1.89-1.99
O: 0.9522 0.9637 0.3602  1 Al 1.78, 3 Li 1.89-1.99
O: 0.9636 0.6334 0.5781  1 Al 1.79, 3 Li 1.92-2.00
O: 0.9636 0.8666 0.0781  1 Al 1.79, 3 Li 1.92-2.00

Results
- Energy relative to the elements, uncorrected: -2.359 eV per atom
- Space group: P2_1/c



Record 6
Here is a PBEsol-optimized structure of CrSbBr2 from the Alexandria database. Energies are from SCAN.

a b c (Å): 9.9190 9.9190 9.9190
angles (deg): 20.07 20.07 20.07
Last column: nearest neighbours and their distance in Å.
Element x y z (fractional)
Cr: 0.0000 0.0000 0.0000  6 Br 2.55
Sb: 0.5000 0.5000 0.5000  6 Sb 3.46, 6 Br 3.83
Br: 0.2789 0.2789 0.2789  3 Cr 2.55
Br: 0.7211 0.7211 0.7211  3 Cr 2.55

Results
- Energy relative to the elements, uncorrected: -0.315 eV per atom
- Space group: R-3m



Record 7
Here is a PBEsol-optimized structure of NaMg30CoO32 from the Alexandria database. Energies are from SCAN.

a b c (Å): 8.4358 8.4358 8.4354
angles (deg): 90.00 90.00 90.00
Last column: nearest neighbours and their distance in Å.
Element x y z (fractional)
Na: 0.0000 0.0000 0.0000  6 O 2.21-2.24
Mg: 0.0000 0.0000 0.5000  6 O 2.01-2.14
Mg: 0.0000 0.2479 0.2489  6 O 2.09-2.13
Mg: 0.0000 0.2479 0.7511  6 O 2.09-2.13
Mg: 0.0000 0.5000 0.0000  4 O 1.98-2.11
Mg: 0.0000 0.5000 0.5000  6 O 2.08-2.14
Mg: 0.0000 0.7521 0.2489  6 O 2.09-2.13
Mg: 0.0000 0.7521 0.7511  6 O 2.09-2.13
Mg: 0.2479 0.0000 0.2489  6 O 2.09-2.13
Mg: 0.2479 0.0000 0.7511  6 O 2.09-2.13
Mg: 0.2482 0.2482 0.0000  6 O 2.10-2.13
Mg: 0.2482 0.7518 0.0000  6 O 2.10-2.13
Mg: 0.2491 0.2491 0.5000  6 O 2.10-2.12
Mg: 0.2491 0.7509 0.5000  6 O 2.10-2.12
Mg: 0.2496 0.5000 0.2491  6 O 2.10-2.12
Mg: 0.2496 0.5000 0.7509  6 O 2.10-2.12
Mg: 0.5000 0.0000 0.0000  4 O 1.98-2.11
Mg: 0.5000 0.0000 0.5000  6 O 2.08-2.14
Mg: 0.5000 0.2496 0.2491  6 O 2.10-2.12
Mg: 0.5000 0.2496 0.7509  6 O 2.10-2.12
Mg: 0.5000 0.5000 0.5000  6 O 2.08-2.22
Mg: 0.5000 0.7504 0.2491  6 O 2.10-2.12
Mg: 0.5000 0.7504 0.7509  6 O 2.10-2.12
Mg: 0.7504 0.5000 0.2491  6 O 2.10-2.12
Mg: 0.7504 0.5000 0.7509  6 O 2.10-2.12
Mg: 0.7509 0.2491 0.5000  6 O 2.10-2.12
Mg: 0.7509 0.7509 0.5000  6 O 2.10-2.12
Mg: 0.7521 0.0000 0.2489  6 O 2.09-2.13
Mg: 0.7521 0.0000 0.7511  6 O 2.09-2.13
Mg: 0.7518 0.2482 0.0000  6 O 2.10-2.13
Mg: 0.7518 0.7518 0.0000  6 O 2.10-2.13
Co: 0.5000 0.5000 0.0000  6 O 1.98-2.00
O: 0.0000 0.0000 0.2623  5 Mg 2.01-2.09, 1 Na 2.21
O: 0.0000 0.0000 0.7377  5 Mg 2.01-2.09, 1 Na 2.21
O: 0.0000 0.2533 0.5000  6 Mg 2.08-2.14
O: 0.0000 0.2650 0.0000  5 Mg 1.98-2.10
O: 0.0000 0.5000 0.2497  6 Mg 2.11-2.13
O: 0.0000 0.5000 0.7503  6 Mg 2.11-2.13
O: 0.0000 0.7350 0.0000  5 Mg 1.98-2.10
O: 0.0000 0.7467 0.5000  6 Mg 2.08-2.14
O: 0.2509 0.2509 0.2495  6 Mg 2.10-2.12
O: 0.2509 0.2509 0.7505  6 Mg 2.10-2.12
O: 0.2509 0.7491 0.2495  6 Mg 2.10-2.12
O: 0.2509 0.7491 0.7505  6 Mg 2.10-2.12
O: 0.2533 0.0000 0.5000  6 Mg 2.08-2.14
O: 0.2539 0.5000 0.5000  6 Mg 2.08-2.14
O: 0.2650 0.0000 0.0000  5 Mg 1.98-2.10
O: 0.2658 0.5000 0.0000  1 Co 1.98, 4 Mg 2.11-2.13
O: 0.5000 0.0000 0.2497  6 Mg 2.11-2.13
O: 0.5000 0.0000 0.7503  6 Mg 2.11-2.13
O: 0.5000 0.2539 0.5000  6 Mg 2.08-2.14
O: 0.5000 0.2658 0.0000  1 Co 1.98, 4 Mg 2.11-2.13
O: 0.5000 0.5000 0.2366  1 Co 2.00, 5 Mg 2.11-2.22
O: 0.5000 0.5000 0.7634  1 Co 2.00, 5 Mg 2.11-2.22
O: 0.5000 0.7342 0.0000  1 Co 1.98, 4 Mg 2.11-2.13
O: 0.5000 0.7461 0.5000  6 Mg 2.08-2.14
O: 0.7342 0.5000 0.0000  1 Co 1.98, 4 Mg 2.11-2.13
O: 0.7350 0.0000 0.0000  5 Mg 1.98-2.10
O: 0.7461 0.5000 0.5000  6 Mg 2.08-2.14
O: 0.7467 0.0000 0.5000  6 Mg 2.08-2.14
O: 0.7491 0.2509 0.2495  6 Mg 2.10-2.12
O: 0.7491 0.2509 0.7505  6 Mg 2.10-2.12
O: 0.7491 0.7491 0.2495  6 Mg 2.10-2.12
O: 0.7491 0.7491 0.7505  6 Mg 2.10-2.12

Results
- Energy relative to the elements, uncorrected: -2.913 eV per atom
- Space group: P4/mmm



Record 8
Here is a PBEsol-optimized structure of BaTlIrN2 from the Alexandria database. Energies are from SCAN.

a b c (Å): 4.4739 4.4739 5.1754
angles (deg): 90.00 90.00 90.00
Last column: nearest neighbours and their distance in Å.
Element x y z (fractional)
Ba: 0.0000 0.0000 0.0000  4 Ir 3.16, 8 N 3.42
Tl: 0.5000 0.5000 0.5000  4 N 2.24
Ir: 0.5000 0.5000 0.0000  2 Tl 2.59
N: 0.0000 0.5000 0.5000  2 Tl 2.24
N: 0.5000 0.0000 0.5000  2 Tl 2.24

Results
- Energy relative to the elements, uncorrected: 1.496 eV per atom
- Space group: P4/mmm



Record 9
Here is a PBEsol-optimized structure of TbGeRu from the Alexandria database. Energies are from SCAN.

a b c (Å): 6.9729 4.4024 7.1080
angles (deg): 90.00 90.00 90.00
Last column: nearest neighbours and their distance in Å.
Element x y z (fractional)
Tb: 0.0177 0.2500 0.1900  4 Ru 2.91-2.97, 6 Ge 3.01-3.23
Tb: 0.4823 0.7500 0.6900  4 Ru 2.91-2.97, 6 Ge 3.01-3.23
Tb: 0.5177 0.2500 0.3100  4 Ru 2.91-2.97, 6 Ge 3.01-3.23
Tb: 0.9823 0.7500 0.8100  4 Ru 2.91-2.97, 6 Ge 3.01-3.23
Ge: 0.2012 0.2500 0.6071  4 Ru 2.50-2.55
Ge: 0.2988 0.7500 0.1071  4 Ru 2.50-2.55
Ge: 0.7012 0.2500 0.8929  4 Ru 2.50-2.55
Ge: 0.7988 0.7500 0.3929  4 Ru 2.50-2.55
Ru: 0.1541 0.7500 0.4364  4 Ge 2.50-2.55
Ru: 0.3459 0.2500 0.9364  4 Ge 2.50-2.55
Ru: 0.6541 0.7500 0.0636  4 Ge 2.50-2.55
Ru: 0.8459 0.2500 0.5636  4 Ge 2.50-2.55

Results
- Space group: Pnma
- Formation energy from the elements: -0.84 eV/atom



Record 10
Here is a PBEsol-optimized structure of BeIn2AsP from the Alexandria database. Energies are from SCAN.

a b c (Å): 5.1248 5.1248 4.7128
angles (deg): 90.00 90.00 90.00
Last column: nearest neighbours and their distance in Å.
Element x y z (fractional)
Be: 0.0000 0.0000 0.0000  8 In 3.48, 4 As 3.62
In: 0.0000 0.5000 0.5000  2 P 2.56
In: 0.5000 0.0000 0.5000  2 P 2.56
As: 0.5000 0.5000 0.0000  2 P 2.36
P: 0.5000 0.5000 0.5000  2 As 2.36, 4 In 2.56

Results
- Space group: P4/mmm
- Formation energy from the elements: 0.94 eV/atom



| no. | M_tot (μB per cell) |
| --- | --- |
| 1 | 4.1 |
| 2 | 4.0 |
| 3 | 0.0 |
| 4 | 5.0 |
| 5 | 0.0 |
| 6 | 3.4 |
| 7 | 0.2 |
| 8 | 3.9 |
| 9 | 0.0 |
| 10 | 0.0 |